(1)
Density functional theory data (GGA-PBE) for a geometry-optimized SrTeP2N structure.

Output
* raw total energy: -4.4142 eV per atom
* total magnetization: 0.00 μB per cell

a = 4.511 Å, b = 4.511 Å, c = 4.730 Å
α = 90.00°, β = 90.00°, γ = 90.00°
Element x y z (fractional)
Sr: 0.000 0.000 0.000
Te: 0.500 0.500 0.000
P: 0.000 0.500 0.500
P: 0.500 0.000 0.500
N: 0.500 0.500 0.500


(2)
Density functional theory data (GGA-PBE) for a geometry-optimized SrTe2PN structure.

Output
* excess energy over the best structure of this formula in the dataset: 0 meV per atom
* total magnetization: 0.00 μB per cell

a = 6.111 Å, b = 6.111 Å, c = 3.328 Å
α = 90.00°, β = 90.00°, γ = 90.00°
Element x y z (fractional)
Sr: 0.000 0.000 0.000
Te: 0.000 0.500 0.500
Te: 0.500 0.000 0.500
P: 0.500 0.500 0.500
N: 0.500 0.500 0.000